Record 1
# AcMgAs2 | the Alexandria database | PBE | relaxed
# Energy (eV/atom): -4.56
# Crystal system: trigonal
# ρ (g/cm3): 6.3
# Magnetization (μB/f.u.): 0.000
data_AcMgAs2
_space_group_name_H-M_alt 'R -3 m'
_space_group_IT_number 166
_space_group_name_Hall '-R 3 2"'
_cell_length_a 4.4893
_cell_length_b 4.4893
_cell_length_c 18.2524
_cell_angle_alpha 90.00
_cell_angle_beta 90.00
_cell_angle_gamma 120.00
loop_
_atom_site_label
_atom_site_type_symbol
_atom_site_fract_x
_atom_site_fract_y
_atom_site_fract_z
Ac1 Ac 0.0000 0.0000 0.0000
Mg1 Mg 0.0000 0.0000 0.5000
As1 As 0.0000 0.0000 0.2352

---

Record 2
# Ac3MgAs | the Alexandria database | PBE | relaxed
# Energy (eV/atom): -4.03
# Crystal system: cubic
# ρ (g/cm3): 6.0
# Magnetization (μB/f.u.): 0.001
data_Ac3MgAs
_space_group_name_H-M_alt 'P m -3 m'
_space_group_IT_number 221
_space_group_name_Hall '-P 4 2 3'
_cell_length_a 6.006
_cell_length_b 6.006
_cell_length_c 6.006
_cell_angle_alpha 90.00
_cell_angle_beta 90.00
_cell_angle_gamma 90.00
loop_
_atom_site_label
_atom_site_type_symbol
_atom_site_fract_x
_atom_site_fract_y
_atom_site_fract_z
Ac1 Ac 0.000 0.000 0.500
Mg1 Mg 0.500 0.500 0.500
As1 As 0.000 0.000 0.000

---

Record 3
# AcMgAs2O6 | the Alexandria database | PBE | relaxed
# Formation energy (no corrections) (eV per atom): -1.871
# Crystal system: trigonal
# ρ (g/cm3): 5.5
# Magnetization (μB/f.u.): 0.001
data_AcMgAs2O6
_space_group_name_H-M_alt 'R -3'
_space_group_IT_number 148
_space_group_name_Hall '-R 3'
_cell_length_a 5.4979
_cell_length_b 5.4979
_cell_length_c 17.0636
_cell_angle_alpha 90.00
_cell_angle_beta 90.00
_cell_angle_gamma 120.00
loop_
_atom_site_label
_atom_site_type_symbol
_atom_site_fract_x
_atom_site_fract_y
_atom_site_fract_z
Ac1 Ac 0.0000 0.0000 0.0000
Mg1 Mg 0.0000 0.0000 0.5000
As1 As 0.0000 0.0000 0.2716
O1 O 0.0176 0.6426 0.9030

---

Record 4
# AcMgAs2O8 | the Alexandria database | PBE | relaxed
# Formation energy (no corrections) (eV per atom): -1.896
# Crystal system: trigonal
# ρ (g/cm3): 4.7
# Magnetization (μB/f.u.): 1.023
data_AcMgAs2O8
_space_group_name_H-M_alt 'P -3'
_space_group_IT_number 147
_cell_length_a 5.4686
_cell_length_b 5.4686
_cell_length_c 7.1816
_cell_angle_alpha 90.00
_cell_angle_beta 90.00
_cell_angle_gamma 120.00
loop_
_space_group_symop_operation_xyz
'x,y,z'
'-x,-y,-z'
'-y,x-y,z'
'y,-x+y,-z'
'-x+y,-x,z'
'x-y,x,-z'
loop_
_atom_site_label
_atom_site_type_symbol
_atom_site_fract_x
_atom_site_fract_y
_atom_site_fract_z
Ac1 Ac 0.0000 0.0000 0.0000
Mg1 Mg 0.0000 0.0000 0.5000
As1 As 0.3333 0.6667 0.7632
O1 O 0.1586 0.3206 0.6959
O2 O 0.3333 0.6667 0.0031

---

Record 5
# AcMgAsO6 | the Alexandria database | PBE | relaxed
# Formation energy (no corrections) (eV per atom): -1.902
# Crystal system: trigonal
# ρ (g/cm3): 5.5
# Magnetization (μB/f.u.): 2.015
data_AcMgAsO6
_space_group_name_H-M_alt 'P 3 1 2'
_space_group_IT_number 149
_cell_length_a 5.2658
_cell_length_b 5.2658
_cell_length_c 5.2716
_cell_angle_alpha 90.00
_cell_angle_beta 90.00
_cell_angle_gamma 120.00
loop_
_space_group_symop_operation_xyz
'x,y,z'
'-y,x-y,z'
'-x+y,-x,z'
'-y,-x,-z'
'-x+y,y,-z'
'x,x-y,-z'
loop_
_atom_site_label
_atom_site_type_symbol
_atom_site_fract_x
_atom_site_fract_y
_atom_site_fract_z
Ac1 Ac 0.0000 0.0000 0.0000
Mg1 Mg 0.3333 0.6667 0.5000
As1 As 0.6667 0.3333 0.5000
O1 O 0.3897 0.0360 0.7001

---

Record 6
# AcMgAsO5 | the Alexandria database | PBE | relaxed
# Formation energy (no corrections) (eV per atom): -2.270
# Crystal system: monoclinic
# ρ (g/cm3): 4.5
# Magnetization (μB/f.u.): 0.000
data_AcMgAsO5
_space_group_name_H-M_alt 'C 1 2/c 1'
_space_group_IT_number 15
_cell_length_a 8.839
_cell_length_b 9.173
_cell_length_c 8.338
_cell_angle_alpha 90.00
_cell_angle_beta 118.36
_cell_angle_gamma 90.00
loop_
_space_group_symop_operation_xyz
'x,y,z'
'-x,-y,-z'
'-x,y,-z+1/2'
'x,-y,z+1/2'
'x+1/2,y+1/2,z'
'-x+1/2,-y+1/2,-z'
'-x+1/2,y+1/2,-z+1/2'
'x+1/2,-y+1/2,z+1/2'
loop_
_atom_site_label
_atom_site_type_symbol
_atom_site_fract_x
_atom_site_fract_y
_atom_site_fract_z
Ac1 Ac 0.000 0.000 0.000
Mg1 Mg 0.000 0.329 0.250
As1 As 0.000 0.374 0.750
O1 O 0.000 0.124 0.250
O2 O 0.002 0.270 0.581
O3 O 0.167 0.498 0.336